# CrFeAgF6 PBE+U relaxed
# Space-group type   P-31c
# Calculated total energy   -95.14 eV for the cell shown
# Volume   267.8 Å³/cell
# Spin magnetization   14.19 μB per cell
data_CrFeAgF6
_cell_length_a 5.460
_cell_length_b 5.460
_cell_length_c 10.372
_cell_angle_alpha 90.00
_cell_angle_beta 90.00
_cell_angle_gamma 120.00
_space_group_name_H-M_alt 'P 1'
_space_group_IT_number 1
loop_
_space_group_symop_operation_xyz
'x,y,z'
loop_
_atom_site_label
_atom_site_type_symbol
_atom_site_fract_x
_atom_site_fract_y
_atom_site_fract_z
F1 F 0.621 0.981 0.852
Fe1 Fe 0.333 0.667 0.250
F2 F 0.019 0.379 0.648
Ag1 Ag 0.000 0.000 0.500
F3 F 0.641 0.019 0.352
F4 F 0.379 0.359 0.352
Ag2 Ag 0.000 0.000 0.000
F5 F 0.359 0.981 0.648
Fe2 Fe 0.667 0.333 0.750
F6 F 0.019 0.641 0.852
Cr1 Cr 0.333 0.667 0.750
F7 F 0.981 0.621 0.352
Cr2 Cr 0.667 0.333 0.250
F8 F 0.359 0.379 0.852
F9 F 0.981 0.359 0.148
F10 F 0.641 0.621 0.148
F11 F 0.621 0.641 0.648
F12 F 0.379 0.019 0.148